Entry 1:
A geometry-optimized PmSm2Dy6Mg structure, computed with PBE.

abc: 9.969 19.533 6.641
angles: 90.00 99.24 90.00
Space group C2/c (No. 15)
Inequivalent atoms, fractional coordinates:
Pm: 0.000 0.008 0.250 x4
Sm: 0.233 0.418 0.999 x8
Dy: 0.061 0.147 0.531 x8
Dy: 0.113 0.412 0.482 x8
Dy: 0.175 0.260 0.221 x8
Mg: 0.000 0.292 0.750 x4

Results
Size of the total moment   0.01 μB per cell
D(E_F)   1.501 states/eV/atom
Electronic total energy   -4.230 eV per atom



Entry 2:
A geometry-optimized Pm3Sm6Dy2Mg structure, computed with PBE.

abc: 6.236 10.814 11.844
angles: 90.00 100.18 90.00
Space group C2/m (No. 12)
Inequivalent atoms, fractional coordinates:
Pm: 0.000 0.000 0.000 x2
Pm: 0.000 0.333 0.000 x4
Sm: 0.246 0.334 0.745 x8
Sm: 0.249 0.000 0.747 x4
Dy: 0.000 0.167 0.500 x4
Mg: 0.000 0.500 0.500 x2

Results
Size of the total moment   0.00 μB per cell
D(E_F)   1.262 states/eV/atom
Electronic total energy   -4.420 eV per atom



Entry 3:
A geometry-optimized Pm6Sm2DyMg structure, computed with PBE.

abc: 9.263 15.334 9.383
angles: 90.00 95.38 90.00
Space group C2/c (No. 15)
Inequivalent atoms, fractional coordinates:
Pm: 0.046 0.179 0.447 x8
Pm: 0.108 0.390 0.608 x8
Pm: 0.216 0.214 0.800 x8
Sm: 0.238 0.448 0.952 x8
Dy: 0.000 0.023 0.750 x4
Mg: 0.000 0.416 0.250 x4

Results
Size of the total moment   0.00 μB per cell
D(E_F)   1.237 states/eV/atom
Electronic total energy   -4.302 eV per atom



Entry 4:
A geometry-optimized Pm2Sm4Dy2Mg structure, computed with PBE.

abc: 6.663 6.931 7.714
angles: 86.96 72.86 63.17
Space group P-1 (No. 2)
Inequivalent atoms, fractional coordinates:
Pm: 0.033 0.164 0.317 x2
Sm: 0.032 0.658 0.154 x2
Sm: 0.498 0.376 0.717 x2
Dy: 0.405 0.860 0.898 x2
Mg: 0.500 0.000 0.500 x1

Results
Size of the total moment   0.00 μB per cell
D(E_F)   1.241 states/eV/atom
Electronic total energy   -4.220 eV per atom



Entry 5:
A geometry-optimized Pm5Sm2DyMg structure, computed with PBE.

abc: 5.533 20.267 10.760
angles: 90.00 90.00 90.00
Space group Cmcm (No. 63)
Inequivalent atoms, fractional coordinates:
Pm: 0.000 0.000 0.000 x4
Pm: 0.000 0.120 0.250 x4
Pm: 0.000 0.211 0.551 x8
Pm: 0.000 0.485 0.250 x4
Sm: 0.000 0.385 0.539 x8
Dy: 0.000 0.298 0.250 x4
Mg: 0.000 0.096 0.750 x4

Results
Size of the total moment   0.00 μB per cell
D(E_F)   1.421 states/eV/atom
Electronic total energy   -4.285 eV per atom



Entry 6:
A geometry-optimized Pm2Sm6DyMg structure, computed with PBE.

abc: 9.232 15.078 9.549
angles: 90.00 97.23 90.00
Space group C2/c (No. 15)
Inequivalent atoms, fractional coordinates:
Pm: 0.244 0.050 0.452 x8
Sm: 0.055 0.317 0.948 x8
Sm: 0.104 0.105 0.113 x8
Sm: 0.213 0.283 0.305 x8
Dy: 0.000 0.481 0.250 x4
Mg: 0.000 0.090 0.750 x4

Results
Size of the total moment   0.00 μB per cell
D(E_F)   1.237 states/eV/atom
Electronic total energy   -4.289 eV per atom



Entry 7:
A geometry-optimized Tb6PmDy2Mg structure, computed with PBE.

abc: 10.011 19.396 6.614
angles: 90.00 98.78 90.00
Space group C2/c (No. 15)
Inequivalent atoms, fractional coordinates:
Tb: 0.066 0.145 0.034 x8
Tb: 0.108 0.415 0.980 x8
Tb: 0.174 0.259 0.718 x8
Pm: 0.000 0.010 0.750 x4
Dy: 0.239 0.416 0.496 x8
Mg: 0.000 0.293 0.250 x4

Results
Size of the total moment   0.00 μB per cell
D(E_F)   1.596 states/eV/atom
Electronic total energy   -4.221 eV per atom



Entry 8:
A geometry-optimized Tb2Pm6Dy3Mg structure, computed with PBE.

abc: 6.211 10.765 11.780
angles: 90.00 100.15 90.00
Space group C2/m (No. 12)
Inequivalent atoms, fractional coordinates:
Tb: 0.000 0.167 0.000 x4
Pm: 0.249 0.334 0.249 x8
Pm: 0.250 0.000 0.250 x4
Dy: 0.000 0.000 0.500 x2
Dy: 0.000 0.334 0.500 x4
Mg: 0.000 0.500 0.000 x2

Results
Size of the total moment   0.00 μB per cell
D(E_F)   1.082 states/eV/atom
Electronic total energy   -4.412 eV per atom



Entry 9:
A geometry-optimized Tb2PmDy2Mg2 structure, computed with PBE.

abc: 5.4755 5.4755 24.1157
angles: 90.00 90.00 120.00
Space group R-3m (No. 166, hexagonal axes)
Inequivalent atoms, fractional coordinates:
Tb: 0.0000 0.0000 0.1561 x6
Pm: 0.0000 0.0000 0.0000 x3
Dy: 0.0000 0.0000 0.4279 x6
Mg: 0.0000 0.0000 0.2897 x6

Results
Size of the total moment   0.00 μB per cell
D(E_F)   1.027 states/eV/atom
Electronic total energy   -3.805 eV per atom



Entry 10:
A geometry-optimized TbPm2Dy5Mg structure, computed with PBE.

abc: 5.445 20.104 10.511
angles: 90.00 90.00 90.00
Space group Cmc2_1 (No. 36)
Inequivalent atoms, fractional coordinates:
Tb: 0.000 0.205 0.000 x4
Pm: 0.000 0.115 0.289 x4
Pm: 0.000 0.115 0.711 x4
Dy: 0.000 0.014 0.000 x4
Dy: 0.000 0.289 0.301 x4
Dy: 0.000 0.290 0.699 x4
Dy: 0.000 0.383 0.000 x4
Dy: 0.000 0.500 0.249 x4
Mg: 0.000 0.405 0.498 x4

Results
Size of the total moment   0.00 μB per cell
D(E_F)   1.397 states/eV/atom
Electronic total energy   -4.207 eV per atom



Entry 11:
A geometry-optimized TbPm4Dy2Mg structure, computed with PBE.

abc: 5.047 5.047 10.020
angles: 90.00 90.00 90.00
Space group P4/mmm (No. 123)
Inequivalent atoms, fractional coordinates:
Tb: 0.000 0.000 0.000 x1
Pm: 0.000 0.500 0.254 x4
Dy: 0.000 0.000 0.500 x1
Dy: 0.500 0.500 0.000 x1
Mg: 0.500 0.500 0.500 x1

Results
Size of the total moment   0.00 μB per cell
D(E_F)   1.312 states/eV/atom
Electronic total energy   -4.296 eV per atom



Entry 12:
A geometry-optimized Tb4Pm2Dy2Mg structure, computed with PBE.

abc: 6.621 6.939 7.560
angles: 88.06 73.51 63.11
Space group P-1 (No. 2)
Inequivalent atoms, fractional coordinates:
Tb: 0.007 0.127 0.282 x2
Tb: 0.464 0.844 0.850 x2
Pm: 0.470 0.329 0.680 x2
Dy: 0.097 0.643 0.103 x2
Mg: 0.000 0.500 0.500 x1

Results
Size of the total moment   0.00 μB per cell
D(E_F)   1.228 states/eV/atom
Electronic total energy   -4.178 eV per atom



Entry 13:
A geometry-optimized TbPm2Dy2Mg2 structure, computed with PBE.

abc: 5.4892 5.4892 24.2318
angles: 90.00 90.00 120.00
Space group R-3m (No. 166, hexagonal axes)
Inequivalent atoms, fractional coordinates:
Tb: 0.0000 0.0000 0.0000 x3
Pm: 0.0000 0.0000 0.1560 x6
Dy: 0.0000 0.0000 0.4265 x6
Mg: 0.0000 0.0000 0.2905 x6

Results
Size of the total moment   0.00 μB per cell
D(E_F)   1.021 states/eV/atom
Electronic total energy   -3.806 eV per atom



Entry 14:
A geometry-optimized Tb5Pm2DyMg structure, computed with PBE.

abc: 5.457 20.127 10.553
angles: 90.00 90.00 90.00
Space group Cmc2_1 (No. 36)
Inequivalent atoms, fractional coordinates:
Tb: 0.000 0.000 0.000 x4
Tb: 0.000 0.118 0.251 x4
Tb: 0.000 0.210 0.949 x4
Tb: 0.000 0.211 0.552 x4
Tb: 0.000 0.486 0.251 x4
Pm: 0.000 0.385 0.540 x4
Pm: 0.000 0.385 0.961 x4
Dy: 0.000 0.295 0.251 x4
Mg: 0.000 0.095 0.749 x4

Results
Size of the total moment   0.00 μB per cell
D(E_F)   1.411 states/eV/atom
Electronic total energy   -4.221 eV per atom



Entry 15:
A geometry-optimized TbPm2DyMg structure, computed with PBE.

abc: 6.160 5.631 9.498
angles: 90.00 108.85 90.00
Space group P2_1/m (No. 11)
Inequivalent atoms, fractional coordinates:
Tb: 0.175 0.250 0.006 x2
Pm: 0.018 0.750 0.393 x2
Pm: 0.249 0.750 0.797 x2
Dy: 0.362 0.250 0.395 x2
Mg: 0.418 0.750 0.197 x2

Results
Size of the total moment   0.00 μB per cell
D(E_F)   1.302 states/eV/atom
Electronic total energy   -4.049 eV per atom



Entry 16:
A geometry-optimized Tb4PmDy2Mg structure, computed with PBE.

abc: 5.772 5.772 7.484
angles: 90.00 90.00 90.00
Space group P4/mmm (No. 123)
Inequivalent atoms, fractional coordinates:
Tb: 0.000 0.500 0.243 x4
Pm: 0.000 0.000 0.000 x1
Dy: 0.000 0.000 0.500 x1
Dy: 0.500 0.500 0.500 x1
Mg: 0.500 0.500 0.000 x1

Results
Size of the total moment   0.00 μB per cell
D(E_F)   1.939 states/eV/atom
Electronic total energy   -4.163 eV per atom



Entry 17:
A geometry-optimized Tb2Pm2DyMg structure, computed with PBE.

abc: 6.749 17.924 6.407
angles: 90.00 90.00 90.00
Space group Ibam (No. 72)
Inequivalent atoms, fractional coordinates:
Tb: 0.157 0.154 0.000 x8
Pm: 0.156 0.348 0.000 x8
Dy: 0.000 0.000 0.250 x4
Mg: 0.000 0.500 0.250 x4

Results
Size of the total moment   0.00 μB per cell
D(E_F)   1.490 states/eV/atom
Electronic total energy   -3.960 eV per atom



Entry 18:
A geometry-optimized Tb2PmDy4Mg structure, computed with PBE.

abc: 4.964 4.959 10.067
angles: 90.00 90.05 90.00
Space group P2/m (No. 10)
Inequivalent atoms, fractional coordinates:
Tb: 0.000 0.000 0.000 x1
Tb: 0.500 0.500 0.500 x1
Pm: 0.000 0.000 0.500 x1
Dy: 0.000 0.500 0.246 x2
Dy: 0.500 0.000 0.246 x2
Mg: 0.500 0.500 0.000 x1

Results
Size of the total moment   0.00 μB per cell
D(E_F)   1.434 states/eV/atom
Electronic total energy   -4.231 eV per atom



Entry 19:
A geometry-optimized Tb2PmDy5Mg structure, computed with PBE.

abc: 5.430 20.011 10.550
angles: 90.00 90.00 90.00
Space group Cmc2_1 (No. 36)
Inequivalent atoms, fractional coordinates:
Tb: 0.000 0.114 0.000 x4
Tb: 0.000 0.115 0.422 x4
Pm: 0.000 0.207 0.711 x4
Dy: 0.000 0.014 0.711 x4
Dy: 0.000 0.290 0.009 x4
Dy: 0.000 0.291 0.412 x4
Dy: 0.000 0.385 0.711 x4
Dy: 0.000 0.499 0.460 x4
Mg: 0.000 0.406 0.209 x4

Results
Size of the total moment   0.00 μB per cell
D(E_F)   1.362 states/eV/atom
Electronic total energy   -4.187 eV per atom



no.,formation energy from the elements (meV per atom)
1,109.2
2,26.7
3,112.0
4,133.2
5,91.1
6,112.7
7,112.3
8,18.7
9,-33.3
10,97.1
11,8.2
12,135.2
13,-16.4
14,95.4
15,16.4
16,95.9
17,199.7
18,21.0
19,103.2